Here is a relaxed Rb2Bi2Te3 crystal from Alexandria via LeMat-Bulk. Energies are from GGA-PBE.

Summary:
Energy relative to the elements, uncorrected: -3.15 eV per formula unit
Spin magnetization: 0.00 μB/atom

abc: 4.508 8.387 8.612
angles: 81.55 89.91 74.42
Space group P-1 (No. 2)
Inequivalent atoms, fractional coordinates:
Rb: 0.120 0.257 0.376 (multiplicity 2)
Bi: 0.377 0.746 0.118 (multiplicity 2)
Te: 0.000 0.500 0.000 (multiplicity 1)
Te: 0.232 0.037 0.781 (multiplicity 2)